Computed, not measured: an optimized crystal structure of CsCaTa at the PBE level of DFT.

Geometry as CIF:
```
data_CsCaTa
_space_group_name_H-M_alt 'P 1'
_space_group_IT_number 1
_cell_length_a 3.548
_cell_length_b 6.752
_cell_length_c 10.974
_cell_angle_alpha 76.87
_cell_angle_beta 87.84
_cell_angle_gamma 75.04
loop_
_space_group_symop_operation_xyz
'x,y,z'
loop_
_atom_site_label
_atom_site_type_symbol
_atom_site_fract_x
_atom_site_fract_y
_atom_site_fract_z
Cs1 Cs 0.000 0.000 0.000
Cs2 Cs 0.103 0.858 0.411
Ca1 Ca 0.729 0.463 0.121
Ca2 Ca 0.871 0.282 0.666
Ta1 Ta 0.230 0.522 0.861
Ta2 Ta 0.621 0.775 0.737
```

Properties
Formation energy from the elements, meV/atom: 928
E above lowest polymorph, kJ per mole of atoms: 45.9

---

Computed, not measured: an optimized crystal structure of CsCaTa at the PBE level of DFT.

Geometry as CIF:
```
data_CsCaTa
_space_group_name_H-M_alt 'P -1'
_space_group_IT_number 2
_cell_length_a 5.636
_cell_length_b 5.637
_cell_length_c 12.313
_cell_angle_alpha 89.00
_cell_angle_beta 88.97
_cell_angle_gamma 60.05
loop_
_space_group_symop_operation_xyz
'x,y,z'
'-x,-y,-z'
loop_
_atom_site_label
_atom_site_type_symbol
_atom_site_fract_x
_atom_site_fract_y
_atom_site_fract_z
Cs1 Cs 0.176 0.175 0.183
Ca1 Ca 0.166 0.166 0.533
Ta1 Ta 0.497 0.498 0.592
```

Properties
Formation energy from the elements, meV/atom: 907
E above lowest polymorph, kJ per mole of atoms: 43.9

---

Computed, not measured: an optimized crystal structure of CsCa3Ta at the PBE level of DFT.

Geometry as CIF:
```
data_CsCa3Ta
_space_group_name_H-M_alt 'P m -3 m'
_space_group_IT_number 221
_space_group_name_Hall '-P 4 2 3'
_cell_length_a 5.622
_cell_length_b 5.622
_cell_length_c 5.622
_cell_angle_alpha 90.00
_cell_angle_beta 90.00
_cell_angle_gamma 90.00
loop_
_atom_site_label
_atom_site_type_symbol
_atom_site_fract_x
_atom_site_fract_y
_atom_site_fract_z
Cs1 Cs 0.000 0.000 0.000
Ca1 Ca 0.000 0.000 0.500
Ta1 Ta 0.500 0.500 0.500
```

Properties
Formation energy from the elements, meV/atom: 1890
E above lowest polymorph, kJ per mole of atoms: 94.0

---

> Look up the formation energy from the elements of the second one.

907 meV/atom

---

> Among the records above, which one has the lowest E above lowest polymorph?

number 2

---

> Which value of E above lowest polymorph does entry 3 give?

94.0 kJ per mole of atoms